1.
DFT (SCAN) results for MgMnPt2 at its PBEsol-relaxed geometry.

Properties
* energy relative to the elements: -0.7765 eV/atom
* calculated volume: 60 Å³ per cell

```
data_MgMnPt2
_chemical_formula_sum 'Mg1 Mn1 Pt2'
_symmetry_space_group_name_H-M 'P 1'
_symmetry_Int_Tables_number 1
_symmetry_space_group_name_Hall 'P 1'
_cell_length_a 3.8037
_cell_length_b 3.8037
_cell_length_c 4.9267
_cell_angle_alpha 112.71
_cell_angle_beta 112.71
_cell_angle_gamma 90.00
loop_
_atom_site_label
_atom_site_type_symbol
_atom_site_fract_x
_atom_site_fract_y
_atom_site_fract_z
_atom_site_occupancy
Mg1 Mg 0.5000 0.5000 0.0000 1
Mn1 Mn 0.7500 0.2500 0.5000 1
Pt1 Pt 0.0000 0.0000 0.0000 1
Pt2 Pt 0.2500 0.7500 0.5000 1
```

=====

2.
DFT (SCAN) results for MgMnPt2 at its PBEsol-relaxed geometry.

Properties
* energy relative to the elements: -0.9096 eV/atom
* calculated volume: 59 Å³ per cell

```
data_MgMnPt2
_chemical_formula_sum 'Mg1 Mn1 Pt2'
_symmetry_space_group_name_H-M 'P 1'
_symmetry_Int_Tables_number 1
_symmetry_space_group_name_Hall 'P 1'
_cell_length_a 2.8988
_cell_length_b 4.5508
_cell_length_c 4.5508
_cell_angle_alpha 101.32
_cell_angle_beta 90.00
_cell_angle_gamma 90.00
loop_
_atom_site_label
_atom_site_type_symbol
_atom_site_fract_x
_atom_site_fract_y
_atom_site_fract_z
_atom_site_occupancy
Mg1 Mg 0.5000 0.0000 0.0000 1
Mn1 Mn 0.5000 0.5000 0.5000 1
Pt1 Pt 0.0000 0.5000 0.0000 1
Pt2 Pt 0.0000 0.0000 0.5000 1
```

=====

3.
DFT (SCAN) results for MgZr2MnPt at its PBEsol-relaxed geometry.

Properties
* energy relative to the elements: 0.2158 eV/atom
* calculated volume: 98 Å³ per cell

```
data_MgZr2MnPt
_chemical_formula_sum 'Mg1 Zr2 Mn1 Pt1'
_symmetry_space_group_name_H-M 'P 1'
_symmetry_Int_Tables_number 1
_symmetry_space_group_name_Hall 'P 1'
_cell_length_a 4.5619
_cell_length_b 4.5619
_cell_length_c 4.7085
_cell_angle_alpha 90.00
_cell_angle_beta 90.00
_cell_angle_gamma 90.00
loop_
_atom_site_label
_atom_site_type_symbol
_atom_site_fract_x
_atom_site_fract_y
_atom_site_fract_z
_atom_site_occupancy
Mg1 Mg 0.0000 0.0000 0.5000 1
Mn1 Mn 0.0000 0.0000 0.0000 1
Zr1 Zr 0.0000 0.5000 0.0000 1
Zr2 Zr 0.5000 0.0000 0.0000 1
Pt1 Pt 0.5000 0.5000 0.5000 1
```

=====

4.
DFT (SCAN) results for RbMg2ScMn at its PBEsol-relaxed geometry.

Properties
* energy relative to the elements: 1.2262 eV/atom
* calculated volume: 189 Å³ per cell

```
data_RbMg2ScMn
_chemical_formula_sum 'Rb1 Mg2 Sc1 Mn1'
_symmetry_space_group_name_H-M 'P 1'
_symmetry_Int_Tables_number 1
_symmetry_space_group_name_Hall 'P 1'
_cell_length_a 5.6434
_cell_length_b 5.6434
_cell_length_c 5.9464
_cell_angle_alpha 90.00
_cell_angle_beta 90.00
_cell_angle_gamma 90.00
loop_
_atom_site_label
_atom_site_type_symbol
_atom_site_fract_x
_atom_site_fract_y
_atom_site_fract_z
_atom_site_occupancy
Sc1 Sc 0.0000 0.0000 0.0000 1
Mg1 Mg 0.0000 0.5000 0.0000 1
Mg2 Mg 0.5000 0.0000 0.0000 1
Mn1 Mn 0.5000 0.5000 0.5000 1
Rb1 Rb 0.0000 0.0000 0.5000 1
```

=====

5.
DFT (SCAN) results for Mg2MnRe at its PBEsol-relaxed geometry.

Properties
* energy relative to the elements: 0.2846 eV/atom
* offset from the most stable computed form: 18.8 kJ/mol of formula units
* calculated volume: 61 Å³ per cell

```
data_Mg2MnRe
_chemical_formula_sum 'Mg2 Mn1 Re1'
_symmetry_space_group_name_H-M 'P 1'
_symmetry_Int_Tables_number 1
_symmetry_space_group_name_Hall 'P 1'
_cell_length_a 3.7401
_cell_length_b 3.7401
_cell_length_c 5.0772
_cell_angle_alpha 111.61
_cell_angle_beta 111.61
_cell_angle_gamma 90.00
loop_
_atom_site_label
_atom_site_type_symbol
_atom_site_fract_x
_atom_site_fract_y
_atom_site_fract_z
_atom_site_occupancy
Mg1 Mg 0.7500 0.2500 0.5000 1
Mg2 Mg 0.2500 0.7500 0.5000 1
Mn1 Mn 0.5000 0.5000 0.0000 1
Re1 Re 0.0000 0.0000 0.0000 1
```

=====

6.
DFT (SCAN) results for Mg2MnRe at its PBEsol-relaxed geometry.

Properties
* energy relative to the elements: 0.2360 eV/atom
* offset from the most stable computed form: 0.0 kJ/mol of formula units
* calculated volume: 63 Å³ per cell

```
data_Mg2MnRe
_chemical_formula_sum 'Mg2 Mn1 Re1'
_symmetry_space_group_name_H-M 'P 1'
_symmetry_Int_Tables_number 1
_symmetry_space_group_name_Hall 'P 1'
_cell_length_a 2.7850
_cell_length_b 2.7850
_cell_length_c 9.5368
_cell_angle_alpha 81.60
_cell_angle_beta 81.60
_cell_angle_gamma 60.00
loop_
_atom_site_label
_atom_site_type_symbol
_atom_site_fract_x
_atom_site_fract_y
_atom_site_fract_z
_atom_site_occupancy
Mg1 Mg 0.2495 0.2495 0.2515 1
Mg2 Mg 0.7505 0.7505 0.7485 1
Mn1 Mn 0.5000 0.5000 0.5000 1
Re1 Re 0.0000 0.0000 0.0000 1
```

=====

7.
DFT (SCAN) results for MgMn2Re at its PBEsol-relaxed geometry.

Properties
* energy relative to the elements: 0.1273 eV/atom
* calculated volume: 56 Å³ per cell

```
data_MgMn2Re
_chemical_formula_sum 'Mg1 Mn2 Re1'
_symmetry_space_group_name_H-M 'P 1'
_symmetry_Int_Tables_number 1
_symmetry_space_group_name_Hall 'P 1'
_cell_length_a 2.6447
_cell_length_b 2.6447
_cell_length_c 8.3814
_cell_angle_alpha 90.00
_cell_angle_beta 90.00
_cell_angle_gamma 108.74
loop_
_atom_site_label
_atom_site_type_symbol
_atom_site_fract_x
_atom_site_fract_y
_atom_site_fract_z
_atom_site_occupancy
Mg1 Mg 0.5000 0.5000 0.0000 1
Mn1 Mn 0.0000 0.0000 0.2670 1
Mn2 Mn 0.0000 0.0000 0.7330 1
Re1 Re 0.5000 0.5000 0.5000 1
```

=====

8.
DFT (SCAN) results for MgMn2Rh at its PBEsol-relaxed geometry.

Properties
* energy relative to the elements: 0.0375 eV/atom
* calculated volume: 54 Å³ per cell

```
data_MgMn2Rh
_chemical_formula_sum 'Mg1 Mn2 Rh1'
_symmetry_space_group_name_H-M 'P 1'
_symmetry_Int_Tables_number 1
_symmetry_space_group_name_Hall 'P 1'
_cell_length_a 2.6813
_cell_length_b 2.6813
_cell_length_c 8.8754
_cell_angle_alpha 81.31
_cell_angle_beta 81.31
_cell_angle_gamma 60.00
loop_
_atom_site_label
_atom_site_type_symbol
_atom_site_fract_x
_atom_site_fract_y
_atom_site_fract_z
_atom_site_occupancy
Mg1 Mg 0.0000 0.0000 0.0000 1
Mn1 Mn 0.2454 0.2454 0.2638 1
Mn2 Mn 0.7546 0.7546 0.7362 1
Rh1 Rh 0.5000 0.5000 0.5000 1
```

=====

9.
DFT (SCAN) results for MgMn2Rh at its PBEsol-relaxed geometry.

Properties
* energy relative to the elements: -0.3942 eV/atom
* calculated volume: 55 Å³ per cell

```
data_MgMn2Rh
_chemical_formula_sum 'Mg1 Mn2 Rh1'
_symmetry_space_group_name_H-M 'P 1'
_symmetry_Int_Tables_number 1
_symmetry_space_group_name_Hall 'P 1'
_cell_length_a 4.2631
_cell_length_b 4.2569
_cell_length_c 4.2631
_cell_angle_alpha 59.95
_cell_angle_beta 90.00
_cell_angle_gamma 120.05
loop_
_atom_site_label
_atom_site_type_symbol
_atom_site_fract_x
_atom_site_fract_y
_atom_site_fract_z
_atom_site_occupancy
Mg1 Mg 0.7500 0.5000 0.7500 1
Mn1 Mn 0.0000 0.0000 0.0000 1
Mn2 Mn 0.2500 0.5000 0.2500 1
Rh1 Rh 0.5000 0.0000 0.5000 1
```

=====

10.
DFT (SCAN) results for MgMn2Rh at its PBEsol-relaxed geometry.

Properties
* energy relative to the elements: -0.3063 eV/atom
* calculated volume: 58 Å³ per cell

```
data_MgMn2Rh
_chemical_formula_sum 'Mg1 Mn2 Rh1'
_symmetry_space_group_name_H-M 'P 1'
_symmetry_Int_Tables_number 1
_symmetry_space_group_name_Hall 'P 1'
_cell_length_a 3.9633
_cell_length_b 3.9665
_cell_length_c 3.6736
_cell_angle_alpha 90.00
_cell_angle_beta 90.00
_cell_angle_gamma 90.00
loop_
_atom_site_label
_atom_site_type_symbol
_atom_site_fract_x
_atom_site_fract_y
_atom_site_fract_z
_atom_site_occupancy
Mg1 Mg 0.0000 0.5000 0.5000 1
Mn1 Mn 0.0000 0.0000 0.0000 1
Mn2 Mn 0.5000 0.5000 0.0000 1
Rh1 Rh 0.5000 0.0000 0.5000 1
```

=====

11.
DFT (SCAN) results for Mg2MnRu at its PBEsol-relaxed geometry.

Properties
* energy relative to the elements: -0.0029 eV/atom
* offset from the most stable computed form: 28.5 kJ/mol of formula units
* calculated volume: 63 Å³ per cell

```
data_Mg2MnRu
_chemical_formula_sum 'Mg2 Mn1 Ru1'
_symmetry_space_group_name_H-M 'P 1'
_symmetry_Int_Tables_number 1
_symmetry_space_group_name_Hall 'P 1'
_cell_length_a 2.8813
_cell_length_b 2.8813
_cell_length_c 7.5692
_cell_angle_alpha 90.00
_cell_angle_beta 90.00
_cell_angle_gamma 90.00
loop_
_atom_site_label
_atom_site_type_symbol
_atom_site_fract_x
_atom_site_fract_y
_atom_site_fract_z
_atom_site_occupancy
Ru1 Ru 0.5000 0.5000 0.7075 1
Mg1 Mg 0.0000 0.0000 0.9585 1
Mg2 Mg 0.5000 0.5000 0.2958 1
Mn1 Mn 0.0000 0.0000 0.5383 1
```

=====

12.
DFT (SCAN) results for MgMn2Ru at its PBEsol-relaxed geometry.

Properties
* energy relative to the elements: 0.1102 eV/atom
* calculated volume: 53 Å³ per cell

```
data_MgMn2Ru
_chemical_formula_sum 'Mg1 Mn2 Ru1'
_symmetry_space_group_name_H-M 'P 1'
_symmetry_Int_Tables_number 1
_symmetry_space_group_name_Hall 'P 1'
_cell_length_a 2.6106
_cell_length_b 4.7266
_cell_length_c 4.6827
_cell_angle_alpha 112.25
_cell_angle_beta 90.00
_cell_angle_gamma 90.00
loop_
_atom_site_label
_atom_site_type_symbol
_atom_site_fract_x
_atom_site_fract_y
_atom_site_fract_z
_atom_site_occupancy
Mg1 Mg 0.0000 0.5000 0.5000 1
Mn1 Mn 0.0000 0.0000 0.0000 1
Mn2 Mn 0.5000 0.0000 0.5000 1
Ru1 Ru 0.5000 0.5000 0.0000 1
```